No. 1
Here is crystalline TmTh4Sc2 at its relaxed geometry from Alexandria via LeMat-Bulk. Energies are from PBE.

```
14
Lattice="-1.106 -0.492 5.104 4.409 -8.087 0.176 7.852 4.327 2.118" Properties=species:S:1:pos:R:3 pbc="T T T"
Tm -0.553 -0.246 2.552
Tm 6.130 -1.880 1.147
Th 3.386 0.613 0.793
Th 8.874 -4.373 1.502
Th 4.906 1.336 3.887
Th 6.248 -5.588 3.511
Th 7.913 0.414 4.450
Th 3.242 -4.666 2.948
Th 2.542 -2.431 0.317
Th 9.719 -1.329 1.978
Sc 7.209 2.008 1.756
Sc 5.052 -5.767 0.539
Sc 7.868 -2.828 4.128
Sc 3.287 -1.423 3.271
```

- energy of formation from the pure elements (eV/f.u.) = 2.34
- energy above the most stable polymorph in this dataset (kJ per mole of atoms) = 28.37

***

No. 2
Here is crystalline PmSmSbAs at its relaxed geometry from Alexandria via LeMat-Bulk. Energies are from PBE.

```
4
Lattice="4.363 0.000 0.000 0.000 4.356 0.260 0.000 -0.367 6.156" Properties=species:S:1:pos:R:3 pbc="T T T"
Pm 2.182 1.671 0.671
Sm 0.000 3.666 3.878
Sb 0.000 3.849 0.800
As 2.182 1.488 3.749
```

- raw formation energy (eV/atom) = -1.30

***

No. 3
Here is crystalline Tl5Te12Pb3 at its relaxed geometry from Alexandria via LeMat-Bulk. Energies are from PBE.

```
80
Lattice="-15.322 -3.855 -2.180 8.121 -2.667 -13.466 6.104 -8.903 11.742" Properties=species:S:1:pos:R:3 pbc="T T T"
Pb -7.684 -5.004 -5.217
Pb -6.554 -6.487 -10.539
Pb 4.159 -9.011 -3.578
Pb -0.527 -4.636 2.175
Pb -10.866 -5.932 -0.655
Pb 0.855 -5.339 -6.298
Pb -1.953 -10.087 2.394
Pb 9.768 -9.493 -3.249
Pb -0.571 -10.790 -6.079
Pb -5.257 -6.415 -0.325
Pb 5.456 -8.939 6.635
Pb 6.586 -10.421 1.313
Tl 2.656 -3.708 -2.387
Tl 4.060 -1.334 -6.733
Tl 0.000 0.000 0.000
Tl -2.953 -3.225 -2.716
Tl -4.609 -6.379 4.781
Tl -3.601 -3.261 -7.823
Tl 6.464 -5.821 -5.969
Tl -5.136 -11.015 6.956
Tl -4.127 -7.897 -5.648
Tl -0.153 -8.456 6.306
Tl -0.945 -6.969 -10.209
Tl -0.549 -7.713 -1.952
Tl -7.661 -1.928 -1.090
Tl 3.052 -4.451 5.871
Tl 3.030 -7.528 1.744
Tl 4.038 -4.411 -10.860
Tl 7.112 -5.785 -0.862
Tl -7.562 -9.604 2.065
Tl 1.855 -12.200 -1.187
Tl -3.754 -11.717 -1.517
Te -9.730 -3.716 -2.853
Te 2.093 -6.420 -3.343
Te -9.922 -6.961 -3.734
Te -5.767 -4.042 -2.680
Te 1.036 -10.255 -3.221
Te -8.614 -6.769 -7.873
Te 3.766 -6.937 -6.220
Te 6.942 -4.029 -10.756
Te 2.810 -10.796 -6.033
Te -5.365 -5.973 -7.479
Te -5.968 -7.316 -3.443
Te -4.848 -6.121 -13.435
Te 7.167 -7.466 -3.647
Te -1.556 -3.288 -5.292
Te 8.216 -5.967 -8.314
Te -1.537 -7.175 4.063
Te 1.470 -2.898 0.168
Te -0.771 -4.276 -9.066
Te -3.607 -7.974 -10.911
Te 1.660 -2.407 -4.817
Te 6.865 -10.717 -4.475
Te -1.257 -7.618 -5.126
Te -3.919 -10.680 -6.542
Te -3.567 -11.915 4.650
Te 0.159 -7.807 1.222
Te 2.821 -4.745 2.639
Te 2.469 -3.510 -8.554
Te 2.509 -7.451 7.008
Te -7.962 -4.708 0.572
Te -2.758 -13.018 0.913
Te -0.327 -11.149 5.162
Te 0.440 -8.250 -7.966
Te -2.568 -12.528 -4.071
Te -9.314 -9.458 4.410
Te -8.265 -7.959 -0.256
Te 3.750 -9.304 9.532
Te 0.458 -12.138 1.388
Te -3.908 -4.629 2.129
Te 4.267 -9.452 3.576
Te 4.871 -8.109 -0.461
Te -8.040 -11.397 6.852
Te -4.864 -8.488 2.317
Te 4.669 -11.384 -1.224
Te 7.517 -8.657 3.969
Te -2.134 -5.170 -0.683
Te 8.824 -8.464 -0.169
Te -3.191 -9.005 -0.561
Te 8.632 -11.709 -1.051
```

- raw formation energy (eV/atom) = 0.00

***

No. 4
Here is crystalline Ca3Zn at its relaxed geometry from Alexandria via LeMat-Bulk. Energies are from PBE.

```
4
Lattice="6.602 0.002 0.006 -2.954 5.905 0.006 -2.954 -4.782 3.464" Properties=species:S:1:pos:R:3 pbc="T T T"
Zn -2.954 0.561 1.735
Ca 0.000 0.000 0.000
Ca 1.824 -2.390 1.735
Ca 1.824 2.953 0.006
```

- energy of formation from the pure elements (eV/f.u.) = 0.37
- energy above the most stable polymorph in this dataset (kJ per mole of atoms) = 21.05